(1)
! In2Se3S2 PBE relaxed; values from VASP
&SYSTEM
  ibrav = 0, nat = 7, ntyp = 3
/
ATOMIC_SPECIES
Se 78.96 Se.upf
S 32.06 S.upf
In 114.82 In.upf
ATOMIC_POSITIONS angstrom
Se 3.4745 -4.2856 -4.6521
Se 6.1554 -6.9629 -2.2868
Se 0.0000 0.0000 0.0000
S 6.3407 -9.6999 -8.5084
S 3.2892 -1.5486 1.5695
In 5.3697 -3.1987 1.1209
In 4.2602 -8.0498 -8.0598
CELL_PARAMETERS angstrom
-0.5308 -4.7801 -5.8014
5.9450 -6.0179 -6.5873
4.2157 -0.4505 5.4498
! * space-group type: P-1, No. 2
! * uncorrected formation energy: -0.138 eV per atom

=====

(2)
! SiH PBE relaxed; values from VASP
&SYSTEM
  ibrav = 0, nat = 12, ntyp = 2
/
ATOMIC_SPECIES
H 1.01 H.upf
Si 28.09 Si.upf
ATOMIC_POSITIONS angstrom
H 0.0000 3.5632 4.7924
H 1.7615 2.0300 1.3602
H 1.7615 2.0300 5.5042
H 0.0000 3.5632 2.0720
H 1.7615 3.0368 3.4322
H 0.0000 2.5565 0.0000
Si 1.7615 0.5841 2.2396
Si 1.7615 3.0789 0.0000
Si 0.0000 5.0092 5.6718
Si 1.7615 0.5841 4.6248
Si 0.0000 2.5143 3.4322
Si 0.0000 5.0092 1.1926
CELL_PARAMETERS angstrom
3.5229 0.0000 0.0000
0.0000 5.5933 0.0000
0.0000 0.0000 6.8644
! * space-group type: Pmmn, No. 59
! * ΔE to the lowest computed polymorph: 435 meV/atom

=====

(3)
! LiTeF3 PBE relaxed; values from VASP
&SYSTEM
  ibrav = 0, nat = 5, ntyp = 3
/
ATOMIC_SPECIES
Te 127.60 Te.upf
F 19.00 F.upf
Li 6.94 Li.upf
ATOMIC_POSITIONS angstrom
Te 1.9521 1.9521 1.9521
F 0.0000 0.0000 1.9521
F 1.9521 0.0000 0.0000
F 0.0000 1.9521 0.0000
Li 0.0000 0.0000 0.0000
CELL_PARAMETERS angstrom
3.9043 0.0000 0.0000
0.0000 3.9043 0.0000
0.0000 0.0000 3.9043
! * space-group type: Pm-3m, No. 221
! * ΔE to the lowest computed polymorph: 0 meV/atom
! * uncorrected formation energy: -1.659 eV per atom

=====

| no. | calculated volume (Å³/f.u.) | size of the total moment (μB/cell) |
| --- | --- | --- |
| 1 | 175.0 | 0.00 |
| 2 | 22.5 | 0.00 |
| 3 | 59.5 | 0.00 |